Ta3NiO: relaxed, PBE+U.

Cell: 4.1778 4.1778 4.1778 Å, 90.00 90.00 90.00°
Space group Pm-3m (No. 221)
Unique sites:
Ta  0.0000  0.0000  0.5000
Ni  0.5000  0.5000  0.5000
O  0.0000  0.0000  0.0000

Calculated values
* mass density: 14.1 g/cm³
* total energy: -8.7623 eV/atom
* volume: 72.92 Å³/cell